Record 1
A relaxed LaAlZn3 crystal, computed with PBE.

```
LaAlZn3
1.0
4.160 -0.002 1.429
-0.497 4.129 1.432
0.230 0.255 6.035
Zn La Al
3 1 1
direct
0.152 0.455 0.401 Zn
0.652 0.956 0.401 Zn
0.779 0.582 0.146 Zn
0.403 0.207 0.900 La
0.022 0.825 0.663 Al
```

Properties
Energy above the lowest structure with this stoichiometry ... 0 meV/atom
Electronic total energy ... -2.87 eV per atom
DFT formation energy ... -0.37 eV/atom



Record 2
A relaxed LaAlZn crystal, computed with PBE.

```
LaAlZn
1.0
4.454 -0.001 -0.003
-0.001 4.375 -0.001
2.219 2.182 7.681
Al La Zn
2 2 2
direct
0.324 0.691 0.011 Al
0.496 0.863 0.667 Al
0.936 0.303 0.788 La
0.713 0.079 0.232 La
0.576 0.442 0.508 Zn
0.152 0.518 0.356 Zn
```

Properties
Electronic total energy ... -3.56 eV per atom
DFT formation energy ... -0.24 eV/atom



Record 3
A relaxed La8Al2Zn crystal, computed with PBE.

```
La8Al2Zn
1.0
4.938 0.001 -1.502
-1.333 7.709 -4.378
0.049 -0.081 9.021
La Al Zn
8 2 1
direct
0.000 0.664 0.000 La
0.143 0.143 0.286 La
0.346 0.568 0.694 La
0.857 0.857 0.714 La
0.654 0.432 0.306 La
0.654 0.875 0.306 La
0.000 0.336 0.000 La
0.346 0.125 0.694 La
0.200 0.700 0.400 Al
0.800 0.300 0.600 Al
0.500 0.000 0.000 Zn
```

Properties
Electronic total energy ... -4.52 eV per atom
DFT formation energy ... -0.14 eV/atom



Record 4
A relaxed La2Al3Zn5 crystal, computed with PBE.

```
La2Al3Zn5
1.0
-3.416 -2.369 1.337
2.600 -2.212 2.723
-1.947 7.120 7.643
Zn La Al
5 2 3
direct
0.000 0.500 0.123 Zn
0.500 0.500 0.000 Zn
0.500 0.500 0.500 Zn
0.000 0.000 0.000 Zn
0.500 0.000 0.877 Zn
0.500 0.000 0.246 La
0.000 0.500 0.754 La
0.500 0.000 0.642 Al
0.000 0.500 0.358 Al
0.000 0.000 0.500 Al
```

Properties
Energy above the lowest structure with this stoichiometry ... 22 meV/atom
Electronic total energy ... -3.13 eV per atom
DFT formation energy ... -0.38 eV/atom



Record 5
A relaxed LaAlZn2 crystal, computed with PBE.

```
LaAlZn2
1.0
-2.790 -1.973 3.381
3.062 -3.687 0.375
4.491 1.404 7.944
Zn Al La
4 2 2
direct
0.875 0.660 0.750 Zn
0.410 0.125 0.250 Zn
0.375 0.590 0.750 Zn
0.340 0.625 0.250 Zn
0.500 0.500 0.000 Al
0.250 0.750 0.500 Al
0.750 0.250 0.500 La
0.000 0.000 0.000 La
```

Properties
Electronic total energy ... -2.94 eV per atom
DFT formation energy ... -0.14 eV/atom



Record 6
A relaxed LaAl2Zn2 crystal, computed with PBE.

```
LaAl2Zn2
1.0
-1.947 -3.740 -1.132
1.854 -1.997 3.411
-4.261 -1.594 4.177
Zn Al La
2 2 1
direct
0.250 0.750 0.500 Zn
0.750 0.250 0.500 Zn
0.379 0.379 0.241 Al
0.621 0.621 0.759 Al
0.000 0.000 0.000 La
```

Properties
Electronic total energy ... -3.40 eV per atom
DFT formation energy ... -0.41 eV/atom



| no. | N(E_F) (states/eV/cell) |
| --- | --- |
| 1 | 2.5 |
| 2 | 2.6 |
| 3 | 13.3 |
| 4 | 4.8 |
| 5 | 2.9 |
| 6 | 1.7 |